(1)
{"formula": "Nd4ErMg", "functional": "PBE", "state": "optimized geometry", "formation_enthalpy_0k_ev_per_atom": 0.06, "de_polymorph_mev_per_atom": 82, "total_magnetization_mub_per_fu": 0.000, "lattice_angstrom": [[8.945, 0.454, 0.000], [-1.039, 6.500, 0.000], [-3.953, -3.477, 6.719]], "species": ["Er", "Nd", "Nd", "Nd", "Mg", "Mg", "Nd", "Er", "Nd", "Nd", "Nd", "Nd"], "frac_coords": [[0.649, 0.899, 0.798], [0.633, 0.360, 0.108], [0.367, 0.640, 0.892], [0.975, 0.748, 0.108], [0.593, 0.343, 0.686], [0.407, 0.657, 0.314], [0.098, 0.367, 0.367], [0.351, 0.101, 0.202], [0.769, 0.001, 0.367], [0.231, 0.999, 0.633], [0.025, 0.252, 0.892], [0.902, 0.633, 0.633]]}

(2)
{"formula": "NdErMg4", "functional": "PBE", "state": "optimized geometry", "formation_enthalpy_0k_ev_per_atom": -0.08, "de_polymorph_mev_per_atom": 0, "total_magnetization_mub_per_fu": 0.000, "lattice_angstrom": [[6.067, 0.000, 0.000], [3.034, 5.255, 0.000], [3.034, 1.752, 4.954]], "species": ["Mg", "Nd", "Mg", "Er", "Mg", "Mg"], "frac_coords": [[0.625, 0.625, 0.125], [0.000, 0.000, 0.000], [0.625, 0.625, 0.625], [0.250, 0.250, 0.250], [0.625, 0.125, 0.625], [0.125, 0.625, 0.625]]}

(3)
{"formula": "NdEr4Mg", "functional": "PBE", "state": "optimized geometry", "formation_enthalpy_0k_ev_per_atom": -0.01, "de_polymorph_mev_per_atom": 0, "total_magnetization_mub_per_fu": 0.000, "lattice_angstrom": [[-1.964, 2.929, 0.550], [0.508, -0.320, 3.518], [11.703, 8.026, -0.961]], "species": ["Mg", "Nd", "Er", "Er", "Er", "Er"], "frac_coords": [[0.500, 0.500, 0.500], [0.000, 0.000, 0.000], [0.000, 0.000, 0.349], [0.500, 0.500, 0.179], [0.000, 0.000, 0.651], [0.500, 0.500, 0.821]]}

(4)
{"formula": "NdErMg", "functional": "PBE", "state": "optimized geometry", "formation_enthalpy_0k_ev_per_atom": -0.04, "de_polymorph_mev_per_atom": 6, "total_magnetization_mub_per_fu": 0.230, "lattice_angstrom": [[3.716, 0.000, 0.000], [0.000, 3.716, 0.000], [-1.858, -1.858, 6.477]], "species": ["Er", "Mg", "Nd"], "frac_coords": [[0.323, 0.323, 0.646], [0.671, 0.671, 0.342], [0.006, 0.006, 0.012]]}

(5)
{"formula": "Nd9ErMg2", "functional": "PBE", "state": "optimized geometry", "formation_enthalpy_0k_ev_per_atom": 0.00, "total_magnetization_mub_per_fu": 0.000, "lattice_angstrom": [[-3.542, 0.710, -3.556], [-2.136, -4.425, 1.244], [-8.831, 7.137, 10.223]], "species": ["Nd", "Er", "Nd", "Nd", "Nd", "Nd", "Nd", "Mg", "Mg", "Nd", "Nd", "Nd"], "frac_coords": [[0.500, 0.000, 0.831], [0.000, 0.000, 0.000], [0.000, 0.500, 0.169], [0.500, 0.500, 0.000], [0.500, 0.000, 0.169], [0.500, 0.500, 0.665], [0.000, 0.500, 0.831], [0.000, 0.000, 0.337], [0.000, 0.000, 0.663], [0.500, 0.000, 0.500], [0.500, 0.500, 0.335], [0.000, 0.500, 0.500]]}

(6)
{"formula": "NdEr2Mg5", "functional": "PBE", "state": "optimized geometry", "formation_enthalpy_0k_ev_per_atom": -0.08, "total_magnetization_mub_per_fu": 0.000, "lattice_angstrom": [[5.268, 0.000, 0.000], [0.000, 5.268, 0.000], [-2.634, -2.634, 7.577]], "species": ["Er", "Nd", "Er", "Mg", "Mg", "Mg", "Mg", "Mg"], "frac_coords": [[0.257, 0.257, 0.515], [0.000, 0.000, 0.000], [0.743, 0.743, 0.485], [0.377, 0.877, 0.754], [0.123, 0.623, 0.246], [0.877, 0.377, 0.754], [0.500, 0.500, 0.000], [0.623, 0.123, 0.246]]}

(7)
{"formula": "Nd8Er5Mg", "functional": "PBE", "state": "optimized geometry", "formation_enthalpy_0k_ev_per_atom": 0.24, "total_magnetization_mub_per_fu": 0.000, "lattice_angstrom": [[8.143, 0.000, -2.653], [-4.133, 6.894, -2.955], [0.122, 0.000, 8.563]], "species": ["Nd", "Nd", "Er", "Nd", "Er", "Nd", "Mg", "Nd", "Nd", "Er", "Er", "Nd", "Nd", "Er"], "frac_coords": [[0.522, 0.604, 0.257], [0.654, 0.396, 0.918], [0.025, 0.304, 0.123], [0.082, 0.736, 0.478], [0.818, 0.696, 0.721], [0.345, 0.275, 0.435], [0.250, 0.500, 0.750], [0.930, 0.090, 0.655], [0.743, 0.264, 0.346], [0.877, 0.903, 0.182], [0.279, 0.097, 0.975], [0.160, 0.725, 0.070], [0.565, 0.910, 0.840], [0.500, 0.000, 0.500]]}

(8)
{"formula": "Nd3Er2Mg3", "functional": "PBE", "state": "optimized geometry", "formation_enthalpy_0k_ev_per_atom": -0.07, "total_magnetization_mub_per_fu": 0.001, "lattice_angstrom": [[-2.334, -2.139, 2.087], [-1.536, -2.766, -4.554], [10.280, -4.988, 2.938]], "species": ["Nd", "Nd", "Mg", "Nd", "Mg", "Er", "Mg", "Er"], "frac_coords": [[0.500, 0.000, 0.000], [0.374, 0.374, 0.747], [0.120, 0.120, 0.240], [0.626, 0.626, 0.253], [0.880, 0.880, 0.760], [0.736, 0.236, 0.472], [0.000, 0.500, 0.000], [0.264, 0.764, 0.528]]}

- What is the formula in the eighth record?
  Nd3Er2Mg3